(1)
Material: MgZnAg2
Method: DFT, GGA-PBEsol
State: optimized geometry

## Properties
total energy	-10.39	eV/cell
magnetization	0.0	μB/cell

abc: 3.3188 3.3188 6.0225
angles: 90.00 90.00 90.00
With the nearest neighbours (Å) after each atom.
Space group P4mm (No. 99)
Asymmetric unit:
Mg1 0.0000 0.0000 0.0000  6 Ag 2.78-3.10, 4 Zn 2.86
Zn1 0.5000 0.5000 0.2700  5 Ag 2.68-2.91, 4 Mg 2.86
Ag1 0.0000 0.0000 0.4852  4 Zn 2.68, 4 Ag 2.85, 1 Mg 2.92
Ag2 0.5000 0.5000 0.7524  4 Mg 2.78, 4 Ag 2.85, 1 Zn 2.91

(2)
Material: MgZn2Ag
Method: DFT, GGA-PBEsol
State: optimized geometry

## Properties
total energy	-16.72	eV/cell
magnetization	0.0	μB/cell

abc: 5.6059 7.8164 2.9340
angles: 90.00 90.00 90.00
With the nearest neighbours (Å) after each atom.
Space group Cmmm (No. 65)
Asymmetric unit:
Mg1 0.0000 0.0000 0.0000  2 Ag 2.80, 8 Zn 2.82, 2 Mg 2.93
Zn1 0.2500 0.2500 0.5000  4 Zn 2.80-2.93, 4 Mg 2.82, 4 Ag 2.82
Ag1 0.0000 0.5000 0.0000  2 Mg 2.80, 8 Zn 2.82, 2 Ag 2.93

(3)
Material: MgZnAg2
Method: DFT, GGA-PBEsol
State: optimized geometry

## Properties
total energy	-10.56	eV/cell
magnetization	0.0	μB/cell

abc: 3.2278 3.2278 6.2767
angles: 90.00 90.00 90.00
With the nearest neighbours (Å) after each atom.
Space group P4/mmm (No. 123)
Asymmetric unit:
Mg1 0.0000 0.0000 0.0000  8 Ag 2.83, 2 Zn 3.14
Zn1 0.0000 0.0000 0.5000  8 Ag 2.72
Ag1 0.5000 0.5000 0.2653  4 Zn 2.72, 4 Mg 2.83, 1 Ag 2.95

(4)
Material: Mg2ZnAg
Method: DFT, GGA-PBEsol
State: optimized geometry

## Properties
total energy	-17.72	eV/cell
magnetization	0.0	μB/cell

abc: 10.1694 3.1028 4.7684
angles: 90.00 109.59 90.00
With the nearest neighbours (Å) after each atom.
Space group Cm (No. 8)
Asymmetric unit:
Mg1 0.0000 0.0000 0.0000  3 Zn 2.84-2.95, 4 Ag 2.86-2.87, 4 Mg 3.10-3.17
Mg2 0.2169 0.0000 0.6566  4 Zn 2.85-2.87, 3 Ag 2.86-2.94, 4 Mg 3.10-3.17
Zn1 0.2489 0.5000 0.1771  2 Ag 2.69, 7 Mg 2.84-2.95
Ag1 0.4664 0.0000 0.4766  2 Zn 2.69, 7 Mg 2.86-2.94

(5)
Material: Mg2ZnAg
Method: DFT, GGA-PBEsol
State: optimized geometry

## Properties
total energy	-34.67	eV/cell
magnetization	0.0	μB/cell

abc: 6.4996 6.4996 6.4996
angles: 90.00 90.00 90.00
With the nearest neighbours (Å) after each atom.
Space group F-43m (No. 216)
Asymmetric unit:
Mg1 0.0000 0.0000 0.0000  4 Mg 2.81, 4 Zn 2.81
Mg2 0.2500 0.2500 0.2500  4 Mg 2.81, 4 Ag 2.81
Zn1 0.2500 0.2500 0.7500  4 Mg 2.81, 4 Ag 2.81
Ag1 0.0000 0.0000 0.5000  4 Mg 2.81, 4 Zn 2.81

(6)
Material: MgZnAg2
Method: DFT, GGA-PBEsol
State: optimized geometry

## Properties
total energy	-41.51	eV/cell
magnetization	0.0	μB/cell

abc: 6.4126 6.4126 6.4126
angles: 90.00 90.00 90.00
With the nearest neighbours (Å) after each atom.
Space group F-43m (No. 216)
Asymmetric unit:
Mg1 0.0000 0.0000 0.0000  4 Zn 2.78, 4 Ag 2.78
Zn1 0.2500 0.2500 0.2500  4 Mg 2.78, 4 Ag 2.78
Ag1 0.0000 0.0000 0.5000  4 Zn 2.78, 4 Ag 2.78
Ag2 0.2500 0.2500 0.7500  4 Mg 2.78, 4 Ag 2.78

(7)
Material: Mg2ZrAg
Method: DFT, GGA-PBEsol
State: optimized geometry

## Properties
total energy	-15.76	eV/cell
magnetization	0.0	μB/cell

abc: 3.5544 4.7345 4.7423
angles: 90.00 90.00 90.00
With the nearest neighbours (Å) after each atom.
Space group Pmmm (No. 47)
Asymmetric unit:
Mg1 0.0000 0.0000 0.0000  4 Ag 2.96, 4 Mg 2.96
Mg2 0.5000 0.0000 0.5000  4 Zr 2.96, 4 Mg 2.96
Zr1 0.0000 0.5000 0.5000  4 Mg 2.96, 4 Ag 2.96
Ag1 0.5000 0.5000 0.0000  4 Mg 2.96, 4 Zr 2.96

(8)
Material: Mg2ZrAg
Method: DFT, GGA-PBEsol
State: optimized geometry

## Properties
total energy	-16.14	eV/cell
magnetization	0.0	μB/cell

abc: 3.0573 3.0573 8.4315
angles: 90.00 90.00 90.00
With the nearest neighbours (Å) after each atom.
Space group P4/mmm (No. 123)
Asymmetric unit:
Mg1 0.0000 0.0000 0.2239  4 Ag 2.87, 4 Mg 3.06, 4 Zr 3.18
Zr1 0.5000 0.5000 0.5000  4 Zr 3.06, 8 Mg 3.18
Ag1 0.5000 0.5000 0.0000  8 Mg 2.87, 4 Ag 3.06

(9)
Material: MgZr2Ag
Method: DFT, GGA-PBEsol
State: optimized geometry

## Properties
magnetization	0.0	μB/cell
relative energy among the computed polymorphs	0.000	eV/atom

abc: 3.1150 3.1150 8.4389
angles: 90.00 90.00 90.00
With the nearest neighbours (Å) after each atom.
Space group P4mm (No. 99)
Asymmetric unit:
Mg1 0.0000 0.0000 0.0000  4 Ag 2.83, 4 Mg 3.12
Zr1 0.0000 0.0000 0.5445  4 Ag 3.02, 8 Zr 3.11-3.12
Zr2 0.5000 0.5000 0.2844  8 Zr 3.11-3.12, 4 Mg 3.26
Ag1 0.5000 0.5000 0.7892  4 Mg 2.83, 4 Zr 3.02, 4 Ag 3.12

(10)
Material: Mg2ZrAg
Method: DFT, GGA-PBEsol
State: optimized geometry

## Properties
total energy	-16.09	eV/cell
magnetization	0.0	μB/cell

abc: 3.0905 3.0905 8.4386
angles: 90.00 90.00 90.00
With the nearest neighbours (Å) after each atom.
Space group P4mm (No. 99)
Asymmetric unit:
Mg1 0.0000 0.0000 0.0000  4 Ag 2.82, 4 Mg 3.09
Mg2 0.5000 0.5000 0.2763  8 Mg 3.09-3.20, 4 Zr 3.17
Zr1 0.0000 0.0000 0.5482  4 Ag 2.98, 4 Zr 3.09, 4 Mg 3.17
Ag1 0.5000 0.5000 0.7887  4 Mg 2.82, 4 Zr 2.98, 4 Ag 3.09

(11)
Material: MgZr2Ag
Method: DFT, GGA-PBEsol
State: optimized geometry

## Properties
magnetization	0.0	μB/cell
relative energy among the computed polymorphs	0.096	eV/atom

abc: 10.6503 3.0951 5.3414
angles: 90.00 113.47 90.00
With the nearest neighbours (Å) after each atom.
Space group Cm (No. 8)
Asymmetric unit:
Mg1 0.0000 0.0000 0.0000  2 Ag 2.77, 2 Mg 3.10, 2 Zr 3.10
Zr1 0.2269 0.0000 0.6300  5 Zr 2.97-3.10, 4 Ag 2.98-3.20, 3 Mg 3.19-3.27
Zr2 0.4686 0.0000 0.4763  2 Ag 2.95, 5 Zr 2.97-3.10, 4 Mg 3.10-3.11
Ag1 0.2312 0.5000 0.1100  2 Mg 2.77, 4 Zr 2.95-2.98, 2 Ag 3.10

(12)
Material: MnAg5
Method: DFT, GGA-PBEsol
State: optimized geometry

## Properties
total energy	-23.82	eV/cell
magnetization	4.6	μB/cell

abc: 5.2662 5.2662 4.6455
angles: 90.00 90.00 120.00
With the nearest neighbours (Å) after each atom.
Space group P6/mmm (No. 191)
Asymmetric unit:
Mn1 0.0000 0.0000 0.0000  6 Ag 3.04
Ag1 0.0000 0.5000 0.5000  8 Ag 2.63-2.78
Ag2 0.3333 0.6667 0.0000  9 Ag 2.78-3.04, 3 Mn 3.04